# 1
## SbIr3 (PBE)

Data for SbIr3 after structural relaxation.

Values from the calculation:
Electronic total energy ... -7.476 eV/atom
Magnetization ... 0.00 μB per cell
Raw formation energy ... 0.200 eV per atom
N(E_F) ... 2.4 states/eV/f.u.
Crystal system ... orthorhombic

abc: 5.621 7.801 2.928
angles: 90.00 90.00 90.00
Space group Cmmm (No. 65)
Unique sites:
Sb: 0.000 0.000 0.000
Ir: 0.000 0.500 0.000
Ir: 0.250 0.250 0.500


# 2
## SbIr2 (PBE)

Data for SbIr2 after structural relaxation.

Values from the calculation:
Electronic total energy ... -7.078 eV/atom
Magnetization ... 0.00 μB per cell
Raw formation energy ... 0.204 eV per atom
N(E_F) ... 2.8 states/eV/f.u.
Crystal system ... monoclinic

abc: 10.393 3.041 7.921
angles: 90.00 124.47 90.00
Space group C2/m (No. 12)
Unique sites:
Sb: 0.076 0.000 0.325
Ir: 0.135 0.500 0.995
Ir: 0.163 0.500 0.659


# 3
## Sb3Ir (PBE)

Data for Sb3Ir after structural relaxation.

Values from the calculation:
Electronic total energy ... -5.344 eV/atom
Magnetization ... 0.00 μB per cell
Raw formation energy ... -0.037 eV per atom
E above lowest polymorph ... 0.3084 eV/atom
N(E_F) ... 0.8 states/eV/f.u.
Crystal system ... orthorhombic

abc: 6.455 10.464 6.389
angles: 90.00 90.00 90.00
Space group Pnma (No. 62)
Unique sites:
Sb: 0.031 0.250 0.138
Sb: 0.243 0.110 0.645
Ir: 0.094 0.750 0.470